Below is crystalline CrCuF3 at its relaxed geometry, with properties calculated at the PBE with a Hubbard U level.

a b c (Å): 4.059 4.059 4.059
angles (deg): 90.00 90.00 90.00
Fractional coordinates of all 5 atoms:
Cr  0.000  0.000  0.000
Cu  0.500  0.500  0.500
F  0.000  0.000  0.500
F  0.000  0.500  0.000
F  0.500  0.000  0.000

Total energy = -5.070 eV/atom
Energy above the most stable polymorph in this dataset = 0 meV/atom
Space group = Pm-3m